(1)
Material: SrSc2Sb
Method: DFT, PBE-GGA
State: optimized geometry

```
SrSc2Sb
1.0
-1.931 2.718 5.581
1.931 -2.718 5.581
1.931 2.718 -5.581
Sr Sc Sb
1 2 1
Direct
0.000 0.000 0.000
0.293 0.793 0.500
0.707 0.207 0.500
0.500 0.500 0.000
```

Values from the calculation:
**Raw formation energy**: -0.31 eV/atom


(2)
Material: SrSc3Sb
Method: DFT, PBE-GGA
State: optimized geometry

```
SrSc3Sb
1.0
5.242 0.000 0.000
0.000 5.242 0.000
0.000 0.000 5.242
Sr Sc Sb
1 3 1
Direct
0.000 0.000 0.000
0.000 0.000 0.500
0.000 0.500 0.000
0.500 0.000 0.000
0.500 0.500 0.500
```

Values from the calculation:
**Raw formation energy**: 1.17 eV/atom
**Energy above the lowest structure with this stoichiometry**: 1103 meV per atom


(3)
Material: SrScSb4
Method: DFT, PBE-GGA
State: optimized geometry

```
SrScSb4
1.0
0.000 4.479 4.479
4.479 0.000 4.479
4.479 4.479 0.000
Sr Sc Sb
1 1 4
Direct
0.000 0.000 0.000
0.250 0.250 0.250
0.127 0.624 0.624
0.624 0.127 0.624
0.624 0.624 0.127
0.624 0.624 0.624
```

Values from the calculation:
**Raw formation energy**: -0.10 eV/atom


(4)
Material: SrSc2Sb
Method: DFT, PBE-GGA
State: optimized geometry

```
SrSc2Sb
1.0
1.739 1.004 11.863
-1.739 1.004 11.863
0.000 -2.008 11.863
Sr Sc Sb
1 2 1
Direct
0.000 0.000 0.000
0.419 0.419 0.419
0.581 0.581 0.581
0.500 0.500 0.500
```

Values from the calculation:
**Raw formation energy**: 0.29 eV/atom